(1)
First-principles (PBE-GGA) data for a relaxed structure of Mn2NbCoBi, as listed in the Alexandria database.

E_form = 0.974 eV/atom
total DFT energy (no corrections) = -6.905 eV/atom

Structure (CIF):
```
data_Mn2NbCoBi
_chemical_formula_sum 'Mn2 Nb1 Co1 Bi1'
_space_group_name_H-M_alt 'P 1'
_space_group_IT_number 1
_space_group_name_Hall 'P 1'
_cell_length_a 4.317
_cell_length_b 4.317
_cell_length_c 4.623
_cell_angle_alpha 90.00
_cell_angle_beta 90.00
_cell_angle_gamma 90.00
loop_
_atom_site_label
_atom_site_fract_x
_atom_site_fract_y
_atom_site_fract_z
Mn1 0.000 0.500 0.000
Mn2 0.500 0.000 0.000
Nb1 0.000 0.000 0.500
Co1 0.000 0.000 0.000
Bi1 0.500 0.500 0.500
```

***

(2)
First-principles (PBE-GGA) data for a relaxed structure of IrC, as listed in the Alexandria database.

E_form = 0.901 eV/atom
polymorph energy (0 for the lowest one) = 443.1 meV/atom
total DFT energy (no corrections) = -8.142 eV/atom

Structure (CIF):
```
data_IrC
_chemical_formula_sum 'Ir8 C8'
_space_group_name_H-M_alt 'P 1'
_space_group_IT_number 1
_space_group_name_Hall 'P 1'
_cell_length_a 9.578
_cell_length_b 9.578
_cell_length_c 3.136
_cell_angle_alpha 90.00
_cell_angle_beta 90.00
_cell_angle_gamma 90.00
loop_
_atom_site_label
_atom_site_fract_x
_atom_site_fract_y
_atom_site_fract_z
Ir1 0.102 0.613 0.000
Ir2 0.138 0.289 0.500
Ir3 0.289 0.862 0.500
Ir4 0.387 0.102 0.000
Ir5 0.613 0.898 0.000
Ir6 0.711 0.138 0.500
Ir7 0.862 0.711 0.500
Ir8 0.898 0.387 0.000
C1 0.134 0.409 0.000
C2 0.200 0.684 0.500
C3 0.316 0.200 0.500
C4 0.409 0.866 0.000
C5 0.591 0.134 0.000
C6 0.684 0.800 0.500
C7 0.800 0.316 0.500
C8 0.866 0.591 0.000
```

***

(3)
First-principles (PBE-GGA) data for a relaxed structure of AlTl2Ni, as listed in the Alexandria database.

E_form = 0.433 eV/atom
polymorph energy (0 for the lowest one) = 405.0 meV/atom
total DFT energy (no corrections) = -3.131 eV/atom

Structure (CIF):
```
data_AlTl2Ni
_chemical_formula_sum 'Al1 Tl2 Ni1'
_space_group_name_H-M_alt 'P 1'
_space_group_IT_number 1
_space_group_name_Hall 'P 1'
_cell_length_a 5.204
_cell_length_b 5.204
_cell_length_c 5.204
_cell_angle_alpha 129.09
_cell_angle_beta 129.09
_cell_angle_gamma 74.87
loop_
_atom_site_label
_atom_site_fract_x
_atom_site_fract_y
_atom_site_fract_z
Al1 0.000 0.000 0.000
Tl1 0.250 0.750 0.500
Tl2 0.750 0.250 0.500
Ni1 0.500 0.500 0.000
```

***

(4)
First-principles (PBE-GGA) data for a relaxed structure of Cs2ReNiHg, as listed in the Alexandria database.

E_form = 1.596 eV/atom
total DFT energy (no corrections) = -2.452 eV/atom

Structure (CIF):
```
data_Cs2ReNiHg
_chemical_formula_sum 'Cs2 Re1 Ni1 Hg1'
_space_group_name_H-M_alt 'P 1'
_space_group_IT_number 1
_space_group_name_Hall 'P 1'
_cell_length_a 7.041
_cell_length_b 7.041
_cell_length_c 5.329
_cell_angle_alpha 90.00
_cell_angle_beta 90.00
_cell_angle_gamma 90.00
loop_
_atom_site_label
_atom_site_fract_x
_atom_site_fract_y
_atom_site_fract_z
Cs1 0.000 0.500 0.000
Cs2 0.500 0.000 0.000
Re1 0.000 0.000 0.500
Ni1 0.500 0.500 0.500
Hg1 0.000 0.000 0.000
```

***

(5)
First-principles (PBE-GGA) data for a relaxed structure of VCdPb3, as listed in the Alexandria database.

E_form = 1.004 eV/atom
polymorph energy (0 for the lowest one) = 670.6 meV/atom
total DFT energy (no corrections) = -3.228 eV/atom

Structure (CIF):
```
data_VCdPb3
_chemical_formula_sum 'V1 Cd1 Pb3'
_space_group_name_H-M_alt 'P 1'
_space_group_IT_number 1
_space_group_name_Hall 'P 1'
_cell_length_a 5.615
_cell_length_b 5.615
_cell_length_c 5.615
_cell_angle_alpha 90.00
_cell_angle_beta 90.00
_cell_angle_gamma 90.00
loop_
_atom_site_label
_atom_site_fract_x
_atom_site_fract_y
_atom_site_fract_z
V1 0.000 0.000 0.000
Cd1 0.500 0.500 0.500
Pb1 0.000 0.500 0.500
Pb2 0.500 0.000 0.500
Pb3 0.500 0.500 0.000
```

***

(6)
First-principles (PBE-GGA) data for a relaxed structure of RbPuGeBr6, as listed in the Alexandria database.

E_form (uncorrected) = -1.1940 eV per atom
total DFT energy (no corrections) = -4.522 eV/atom

Structure (CIF):
```
data_RbPuGeBr6
_chemical_formula_sum 'Rb2 Pu2 Ge2 Br12'
_space_group_name_H-M_alt 'P 1'
_space_group_IT_number 1
_space_group_name_Hall 'P 1'
_cell_length_a 10.468
_cell_length_b 10.468
_cell_length_c 10.468
_cell_angle_alpha 120.93
_cell_angle_beta 119.50
_cell_angle_gamma 89.64
loop_
_atom_site_label
_atom_site_fract_x
_atom_site_fract_y
_atom_site_fract_z
Rb1 0.282 0.032 0.250
Rb2 0.718 0.968 0.750
Pu1 0.000 0.500 0.500
Pu2 0.500 0.500 0.000
Ge1 0.000 0.000 0.500
Ge2 0.000 0.500 0.000
Br1 0.057 0.807 0.250
Br2 0.061 0.403 0.229
Br3 0.061 0.832 0.658
Br4 0.325 0.168 0.729
Br5 0.325 0.597 0.158
Br6 0.329 0.579 0.750
Br7 0.671 0.421 0.250
Br8 0.675 0.403 0.842
Br9 0.675 0.832 0.271
Br10 0.939 0.168 0.342
Br11 0.939 0.597 0.771
Br12 0.943 0.193 0.750
```

***

(7)
First-principles (PBE-GGA) data for a relaxed structure of CaYCr2, as listed in the Alexandria database.

E_form = 0.708 eV/atom
total DFT energy (no corrections) = -6.221 eV/atom

Structure (CIF):
```
data_CaYCr2
_chemical_formula_sum 'Ca1 Y1 Cr2'
_space_group_name_H-M_alt 'P 1'
_space_group_IT_number 1
_space_group_name_Hall 'P 1'
_cell_length_a 3.354
_cell_length_b 4.583
_cell_length_c 6.470
_cell_angle_alpha 90.00
_cell_angle_beta 90.64
_cell_angle_gamma 90.00
loop_
_atom_site_label
_atom_site_fract_x
_atom_site_fract_y
_atom_site_fract_z
Ca1 0.000 0.000 0.000
Y1 0.000 0.000 0.500
Cr1 0.498 0.500 0.357
Cr2 0.502 0.500 0.643
```

***

(8)
First-principles (PBE-GGA) data for a relaxed structure of TaP, as listed in the Alexandria database.

E_form = -0.158 eV/atom
total DFT energy (no corrections) = -8.789 eV/atom

Structure (CIF):
```
data_TaP
_chemical_formula_sum 'Ta6 P6'
_space_group_name_H-M_alt 'P 1'
_space_group_IT_number 1
_space_group_name_Hall 'P 1'
_cell_length_a 4.022
_cell_length_b 4.022
_cell_length_c 21.371
_cell_angle_alpha 90.00
_cell_angle_beta 90.00
_cell_angle_gamma 120.00
loop_
_atom_site_label
_atom_site_fract_x
_atom_site_fract_y
_atom_site_fract_z
Ta1 0.000 0.000 0.209
Ta2 0.000 0.000 0.791
Ta3 0.333 0.667 0.125
Ta4 0.333 0.667 0.542
Ta5 0.667 0.333 0.458
Ta6 0.667 0.333 0.875
P1 0.000 0.000 0.088
P2 0.000 0.000 0.912
P3 0.333 0.667 0.246
P4 0.333 0.667 0.421
P5 0.667 0.333 0.579
P6 0.667 0.333 0.754
```

***

(9)
First-principles (PBE-GGA) data for a relaxed structure of GaSn, as listed in the Alexandria database.

E_form = 0.128 eV/atom
total DFT energy (no corrections) = -3.387 eV/atom

Structure (CIF):
```
data_GaSn
_chemical_formula_sum 'Ga6 Sn6'
_space_group_name_H-M_alt 'P 1'
_space_group_IT_number 1
_space_group_name_Hall 'P 1'
_cell_length_a 13.199
_cell_length_b 4.645
_cell_length_c 5.553
_cell_angle_alpha 90.00
_cell_angle_beta 90.00
_cell_angle_gamma 90.00
loop_
_atom_site_label
_atom_site_fract_x
_atom_site_fract_y
_atom_site_fract_z
Ga1 0.000 0.032 0.000
Ga2 0.196 0.608 0.380
Ga3 0.304 0.392 0.880
Ga4 0.500 0.968 0.500
Ga5 0.696 0.392 0.880
Ga6 0.804 0.608 0.380
Sn1 0.000 0.518 0.258
Sn2 0.188 0.889 0.841
Sn3 0.312 0.111 0.341
Sn4 0.500 0.482 0.758
Sn5 0.688 0.111 0.341
Sn6 0.812 0.889 0.841
```

***

(10)
First-principles (PBE-GGA) data for a relaxed structure of CaMg2Cl6, as listed in the Alexandria database.

E_form (uncorrected) = -1.9902 eV per atom
polymorph energy (0 for the lowest one) = 0.0 meV/atom
total DFT energy (no corrections) = -3.798 eV/atom

Structure (CIF):
```
data_CaMg2Cl6
_chemical_formula_sum 'Ca1 Mg2 Cl6'
_space_group_name_H-M_alt 'P 1'
_space_group_IT_number 1
_space_group_name_Hall 'P 1'
_cell_length_a 7.049
_cell_length_b 7.049
_cell_length_c 7.049
_cell_angle_alpha 56.18
_cell_angle_beta 56.18
_cell_angle_gamma 56.18
loop_
_atom_site_label
_atom_site_fract_x
_atom_site_fract_y
_atom_site_fract_z
Ca1 0.000 0.000 0.000
Mg1 0.496 0.496 0.496
Mg2 0.682 0.682 0.682
Cl1 0.086 0.436 0.744
Cl2 0.297 0.881 0.591
Cl3 0.436 0.744 0.086
Cl4 0.591 0.297 0.881
Cl5 0.744 0.086 0.436
Cl6 0.881 0.591 0.297
```